1.
{
  "formula": "TlPd2Pt2",
  "functional": "PBE",
  "state": "relaxed",
  "energy_ev_per_cell": -48.2,
  "m_tot_mub_per_cell": 0.1,
  "lattice": [[3.766, 0.000, 0.000], [0.000, 3.766, 0.000], [0.000, 0.000, 12.978]],
  "species": ["Tl", "Tl", "Pd", "Pd", "Pd", "Pd", "Pt", "Pt", "Pt", "Pt"],
  "frac_coords": [[0.000, 0.000, 0.000], [0.500, 0.500, 0.500], [0.000, 0.000, 0.399], [0.000, 0.000, 0.601], [0.500, 0.500, 0.101], [0.500, 0.500, 0.899], [0.000, 0.500, 0.250], [0.000, 0.500, 0.750], [0.500, 0.000, 0.250], [0.500, 0.000, 0.750]]
}



2.
{
  "formula": "AcReGe",
  "functional": "PBE",
  "state": "relaxed",
  "energy_ev_per_cell": -78.9,
  "m_tot_mub_per_cell": 0.0,
  "lattice": [[6.644, 0.000, 0.000], [0.000, 6.644, 0.000], [0.000, 0.000, 6.644]],
  "species": ["Ac", "Ac", "Ac", "Ac", "Re", "Re", "Re", "Re", "Ge", "Ge", "Ge", "Ge"],
  "frac_coords": [[0.000, 0.000, 0.000], [0.000, 0.500, 0.500], [0.500, 0.000, 0.500], [0.500, 0.500, 0.000], [0.250, 0.250, 0.750], [0.250, 0.750, 0.250], [0.750, 0.250, 0.250], [0.750, 0.750, 0.750], [0.000, 0.000, 0.500], [0.000, 0.500, 0.000], [0.500, 0.000, 0.000], [0.500, 0.500, 0.500]]
}



3.
{
  "formula": "Sc2Ir",
  "functional": "PBE",
  "state": "relaxed",
  "m_tot_mub_per_cell": 0.0,
  "ef_mev_per_atom": 196,
  "lattice": [[0.000, 3.759, 3.759], [3.759, 0.000, 3.759], [3.759, 3.759, 0.000]],
  "species": ["Sc", "Sc", "Sc", "Sc", "Ir", "Ir"],
  "frac_coords": [[0.000, 0.000, 0.000], [0.000, 0.000, 0.500], [0.000, 0.500, 0.000], [0.500, 0.000, 0.000], [0.375, 0.375, 0.375], [0.625, 0.625, 0.625]]
}



4.
{
  "formula": "HfCuSbAu",
  "functional": "PBE",
  "state": "relaxed",
  "energy_ev_per_cell": -84.0,
  "m_tot_mub_per_cell": 0.0,
  "lattice": [[6.764, 0.000, 0.000], [0.000, 6.764, 0.000], [0.000, 0.000, 6.764]],
  "species": ["Hf", "Hf", "Hf", "Hf", "Cu", "Cu", "Cu", "Cu", "Sb", "Sb", "Sb", "Sb", "Au", "Au", "Au", "Au"],
  "frac_coords": [[0.000, 0.000, 0.000], [0.000, 0.500, 0.500], [0.500, 0.000, 0.500], [0.500, 0.500, 0.000], [0.250, 0.250, 0.750], [0.250, 0.750, 0.250], [0.750, 0.250, 0.250], [0.750, 0.750, 0.750], [0.000, 0.000, 0.500], [0.000, 0.500, 0.000], [0.500, 0.000, 0.000], [0.500, 0.500, 0.500], [0.250, 0.250, 0.250], [0.250, 0.750, 0.750], [0.750, 0.250, 0.750], [0.750, 0.750, 0.250]]
}



5.
{
  "formula": "Ta4GaFeN2",
  "functional": "PBE",
  "state": "relaxed",
  "energy_ev_per_cell": -79.6,
  "m_tot_mub_per_cell": 1.2,
  "lattice": [[3.069, 0.000, 0.000], [-1.534, 2.658, 0.000], [0.000, 0.000, 13.350]],
  "species": ["Ta", "Ta", "Ta", "Ta", "Ga", "Fe", "N", "N"],
  "frac_coords": [[0.000, 0.000, 0.147], [0.000, 0.000, 0.853], [0.333, 0.667, 0.335], [0.333, 0.667, 0.665], [0.000, 0.000, 0.500], [0.333, 0.667, 0.000], [0.667, 0.333, 0.240], [0.667, 0.333, 0.760]]
}



6.
{
  "formula": "CsPrHo",
  "functional": "PBE",
  "state": "relaxed",
  "energy_ev_per_cell": -26.5,
  "m_tot_mub_per_cell": 0.1,
  "lattice": [[7.911, 0.000, 0.000], [0.000, 7.911, 0.000], [0.000, 0.000, 7.911]],
  "species": ["Cs", "Cs", "Cs", "Cs", "Pr", "Pr", "Pr", "Pr", "Ho", "Ho", "Ho", "Ho"],
  "frac_coords": [[0.000, 0.000, 0.000], [0.000, 0.500, 0.500], [0.500, 0.000, 0.500], [0.500, 0.500, 0.000], [0.250, 0.250, 0.250], [0.250, 0.750, 0.750], [0.750, 0.250, 0.750], [0.750, 0.750, 0.250], [0.250, 0.250, 0.750], [0.250, 0.750, 0.250], [0.750, 0.250, 0.250], [0.750, 0.750, 0.750]]
}



7.
{
  "formula": "Dy2HoNi2B2As3",
  "functional": "PBE",
  "state": "relaxed",
  "energy_ev_per_cell": -60.2,
  "m_tot_mub_per_cell": 0.0,
  "lattice": [[-2.006, 2.006, 10.879], [2.006, -2.006, 10.879], [2.006, 2.006, -10.879]],
  "species": ["Dy", "Dy", "Ho", "Ni", "Ni", "B", "B", "As", "As", "As"],
  "frac_coords": [[0.142, 0.142, 0.000], [0.858, 0.858, 0.000], [0.500, 0.500, 0.000], [0.250, 0.750, 0.500], [0.750, 0.250, 0.500], [0.276, 0.276, 0.000], [0.724, 0.724, 0.000], [0.000, 0.000, 0.000], [0.371, 0.371, 0.000], [0.629, 0.629, 0.000]]
}



8.
{
  "formula": "MgBeW2",
  "functional": "PBE",
  "state": "relaxed",
  "energy_ev_per_cell": -117.9,
  "m_tot_mub_per_cell": 0.0,
  "lattice": [[6.213, 0.000, 0.000], [0.000, 6.213, 0.000], [0.000, 0.000, 6.213]],
  "species": ["Mg", "Mg", "Mg", "Mg", "Be", "Be", "Be", "Be", "W", "W", "W", "W", "W", "W", "W", "W"],
  "frac_coords": [[0.000, 0.000, 0.000], [0.000, 0.500, 0.500], [0.500, 0.000, 0.500], [0.500, 0.500, 0.000], [0.250, 0.250, 0.750], [0.250, 0.750, 0.250], [0.750, 0.250, 0.250], [0.750, 0.750, 0.750], [0.000, 0.000, 0.500], [0.000, 0.500, 0.000], [0.250, 0.250, 0.250], [0.250, 0.750, 0.750], [0.500, 0.000, 0.000], [0.500, 0.500, 0.500], [0.750, 0.250, 0.750], [0.750, 0.750, 0.250]]
}



9.
{
  "formula": "K3CoBr6",
  "functional": "PBE",
  "state": "relaxed",
  "energy_ev_per_cell": -31.3,
  "m_tot_mub_per_cell": 0.0,
  "lattice": [[0.000, 5.489, 5.489], [5.489, 0.000, 5.489], [5.489, 5.489, 0.000]],
  "species": ["K", "K", "K", "Co", "Br", "Br", "Br", "Br", "Br", "Br"],
  "frac_coords": [[0.000, 0.000, 0.000], [0.250, 0.250, 0.250], [0.750, 0.750, 0.750], [0.500, 0.500, 0.500], [0.280, 0.280, 0.720], [0.280, 0.720, 0.280], [0.280, 0.720, 0.720], [0.720, 0.280, 0.280], [0.720, 0.280, 0.720], [0.720, 0.720, 0.280]]
}



10.
{
  "formula": "BaHfB",
  "functional": "PBE",
  "state": "relaxed",
  "energy_ev_per_cell": -48.1,
  "m_tot_mub_per_cell": 2.2,
  "lattice": [[6.773, 0.000, 0.000], [0.000, 6.773, 0.000], [0.000, 0.000, 6.773]],
  "species": ["Ba", "Ba", "Ba", "Ba", "Hf", "Hf", "Hf", "Hf", "B", "B", "B", "B"],
  "frac_coords": [[0.000, 0.000, 0.000], [0.000, 0.500, 0.500], [0.500, 0.000, 0.500], [0.500, 0.500, 0.000], [0.250, 0.250, 0.250], [0.250, 0.750, 0.750], [0.750, 0.250, 0.750], [0.750, 0.750, 0.250], [0.250, 0.250, 0.750], [0.250, 0.750, 0.250], [0.750, 0.250, 0.250], [0.750, 0.750, 0.750]]
}



11.
{
  "formula": "NaHfAu3Se4",
  "functional": "PBE",
  "state": "relaxed",
  "energy_ev_per_cell": -40.6,
  "m_tot_mub_per_cell": 0.0,
  "lattice": [[6.272, 0.000, 0.000], [0.000, 6.272, 0.000], [0.000, 0.000, 6.272]],
  "species": ["Na", "Hf", "Au", "Au", "Au", "Se", "Se", "Se", "Se"],
  "frac_coords": [[0.000, 0.000, 0.000], [0.500, 0.500, 0.500], [0.000, 0.500, 0.500], [0.500, 0.000, 0.500], [0.500, 0.500, 0.000], [0.264, 0.264, 0.264], [0.264, 0.736, 0.736], [0.736, 0.264, 0.736], [0.736, 0.736, 0.264]]
}



12.
{
  "formula": "Tb4PtI5",
  "functional": "PBE",
  "state": "relaxed",
  "energy_ev_per_cell": -44.7,
  "m_tot_mub_per_cell": 0.3,
  "lattice": [[9.780, -2.086, 0.000], [9.780, 2.086, 0.000], [-1.941, 0.000, 8.747]],
  "species": ["Tb", "Tb", "Tb", "Tb", "Pt", "I", "I", "I", "I", "I"],
  "frac_coords": [[0.001, 0.001, 0.205], [0.356, 0.356, 0.925], [0.644, 0.644, 0.075], [0.999, 0.999, 0.795], [0.500, 0.500, 0.000], [0.168, 0.168, 0.342], [0.177, 0.177, 0.832], [0.500, 0.500, 0.500], [0.823, 0.823, 0.168], [0.832, 0.832, 0.658]]
}